No. 1
An optimized crystal structure of VPd5Pt5. Source: the Alexandria database, functional PBE.

Geometry as POSCAR:
```
VPd5Pt5
1.0
-2.222 -2.896 -3.153
6.527 -2.058 -2.714
0.273 -4.159 2.405
V Pd Pt
1 5 5
Direct
0.244 0.052 0.853
0.042 0.689 0.953
0.132 0.869 0.408
0.678 0.955 0.133
0.775 0.133 0.600
0.873 0.312 0.044
0.318 0.221 0.318
0.410 0.402 0.773
0.954 0.501 0.500
0.497 0.589 0.230
0.576 0.778 0.688
```

**DOS at the Fermi energy**: 13.66 states/eV per cell
**Calculated total energy**: -67.2 eV per cell



No. 2
An optimized crystal structure of V2Pd8Pt. Source: the Alexandria database, functional PBE.

Geometry as POSCAR:
```
V2Pd8Pt
1.0
-1.690 2.626 2.543
-2.668 -5.448 3.852
7.039 1.355 0.090
V Pd Pt
2 8 1
Direct
0.192 0.692 0.384
0.808 0.308 0.616
0.659 0.881 0.317
0.341 0.564 0.683
0.159 0.159 0.317
0.000 0.308 0.000
0.841 0.841 0.683
0.659 0.436 0.317
0.341 0.119 0.683
0.000 0.692 0.000
0.500 0.000 0.000
```

**DOS at the Fermi energy**: 9.16 states/eV per cell
**Calculated total energy**: -67.3 eV per cell



No. 3
An optimized crystal structure of VPd4Pt2. Source: the Alexandria database, functional PBE.

Geometry as POSCAR:
```
VPd4Pt2
1.0
-1.299 -3.609 2.569
3.732 0.550 2.661
-2.048 2.336 6.393
Pd Pt V
4 2 1
Direct
0.181 0.181 0.639
0.819 0.819 0.361
0.000 0.500 0.000
0.500 0.000 0.000
0.388 0.388 0.224
0.612 0.612 0.776
0.000 0.000 0.000
```

**DOS at the Fermi energy**: 3.53 states/eV per cell
**Calculated total energy**: -37.7 eV per cell



Number 1: DFT formation energy -176 meV/atom. Number 2: DFT formation energy -135 meV/atom. Number 3: DFT formation energy 605 meV/atom.